First-principles (GGA-PBE) data for a geometry-optimized Ta2TeAs structure, as listed in the Alexandria database.

Computed properties:
Space-group type ... I-42d (122)
Formation energy (no corrections) ... 2.17 eV per formula unit

a b c (Å): 4.8685 4.8685 8.8605
angles (deg): 74.05 74.05 90.00
Last column: nearest neighbours and their distance in Å.
Atoms (fractional coordinates):
As: 0.5000 0.5000 0.0000  4 Ta 2.53
As: 0.2500 0.7500 0.5000  4 Ta 2.53
Te: 0.0000 0.0000 0.0000  4 Ta 2.84
Te: 0.7500 0.2500 0.5000  4 Ta 2.84
Ta: 0.5548 0.1250 0.2500  2 As 2.53
Ta: 0.1952 0.6250 0.2500  2 As 2.53
Ta: 0.3750 0.4452 0.7500  2 As 2.53
Ta: 0.8750 0.8048 0.7500  2 As 2.53

First-principles (GGA-PBE) data for a geometry-optimized Pr4Nd3Hg4 structure, as listed in the Alexandria database.

Computed properties:
Space-group type ... Immm (71)
Formation energy ... -0.28 eV/atom

a b c (Å): 3.7887 9.4312 10.9454
angles (deg): 115.52 99.97 90.00
Last column: nearest neighbours and their distance in Å.
Atoms (fractional coordinates):
Pr: 0.3390 0.1541 0.6779  4 Hg 3.28-3.29, 1 Pr 3.49
Pr: 0.6610 0.4762 0.3221  4 Hg 3.28-3.29, 1 Pr 3.49
Pr: 0.6610 0.8459 0.3221  4 Hg 3.28-3.29, 1 Pr 3.49
Pr: 0.3390 0.5238 0.6779  4 Hg 3.28-3.29, 1 Pr 3.49
Nd: 0.1000 0.1000 0.1999  6 Hg 3.22-3.35
Nd: 0.9000 0.9000 0.8001  6 Hg 3.22-3.35
Nd: 0.0000 0.5000 0.0000  4 Hg 3.33
Hg: 0.2660 0.7660 0.5319  2 Nd 3.22, 6 Pr 3.28-3.29
Hg: 0.7340 0.2340 0.4681  2 Nd 3.22, 6 Pr 3.28-3.29
Hg: 0.5000 0.7904 0.0000  2 Pr 3.28, 6 Nd 3.33-3.35
Hg: 0.5000 0.2096 0.0000  2 Pr 3.28, 6 Nd 3.33-3.35

First-principles (GGA-PBE) data for a geometry-optimized RbBa3Cu structure, as listed in the Alexandria database.

Computed properties:
Space-group type ... Pm-3m (221)
Formation energy ... 1.05 eV/atom
E above lowest polymorph ... 22.87 kcal/mol of atoms

a b c (Å): 6.9186 6.9186 6.9186
angles (deg): 90.00 90.00 90.00
Last column: nearest neighbours and their distance in Å.
Atoms (fractional coordinates):
Cu: 0.5000 0.5000 0.5000  12 Ba 4.89
Ba: 0.0000 0.5000 0.0000  2 Rb 3.46
Ba: 0.0000 0.0000 0.5000  2 Rb 3.46
Ba: 0.5000 0.0000 0.0000  2 Rb 3.46
Rb: 0.0000 0.0000 0.0000  6 Ba 3.46

First-principles (GGA-PBE) data for a geometry-optimized SrSi structure, as listed in the Alexandria database.

Computed properties:
Space-group type ... P4_2/mnm (136)
Formation energy (no corrections) ... -0.22 eV per formula unit

a b c (Å): 6.4258 6.4258 6.2043
angles (deg): 90.00 90.00 90.00
Last column: nearest neighbours and their distance in Å.
Atoms (fractional coordinates):
Sr: 0.1879 0.1879 0.0000  4 Si 3.07-3.15, 1 Sr 3.42
Sr: 0.6879 0.3121 0.5000  4 Si 3.07-3.15, 1 Sr 3.42
Sr: 0.3121 0.6879 0.5000  4 Si 3.07-3.15, 1 Sr 3.42
Sr: 0.8121 0.8121 0.0000  4 Si 3.07-3.15, 1 Sr 3.42
Si: 0.3718 0.6282 0.0000  1 Si 2.33
Si: 0.8718 0.8718 0.5000  1 Si 2.33
Si: 0.1282 0.1282 0.5000  1 Si 2.33
Si: 0.6282 0.3718 0.0000  1 Si 2.33